Arrangement a

# Li4VP2O9 PBEsol relaxed
data_Li4VP2O9
_symmetry_space_group_name_H-M 'P 1'
_symmetry_Int_Tables_number 1
_symmetry_space_group_name_Hall 'P 1'
_cell_length_a 5.4215
_cell_length_b 8.4207
_cell_length_c 15.6309
_cell_angle_alpha 90.00
_cell_angle_beta 90.00
_cell_angle_gamma 90.00
loop_
_atom_site_label
_atom_site_type_symbol
_atom_site_fract_x
_atom_site_fract_y
_atom_site_fract_z
O1 O 0.3337 0.2585 0.4050
O2 O 0.3517 0.6105 0.3783
O3 O 0.1903 0.2756 0.5600
O4 O 0.8097 0.7756 0.4400
O5 O 0.1483 0.6105 0.8783
O6 O 0.3051 0.9263 0.1835
O7 O 0.7648 0.5174 0.9928
O8 O 0.2645 0.1861 0.7366
O9 O 0.7355 0.6861 0.2634
O10 O 0.6663 0.7585 0.5950
O11 O 0.8051 0.4263 0.3165
O12 O 0.6040 0.1727 0.9469
O13 O 0.0995 0.5272 0.2031
O14 O 0.3097 0.2756 0.0600
O15 O 0.1949 0.9263 0.6835
O16 O 0.8960 0.1727 0.4469
O17 O 0.9005 0.0272 0.7969
O18 O 0.1040 0.6727 0.5531
O19 O 0.3960 0.6727 0.0531
O20 O 0.1602 0.9457 0.3383
O21 O 0.6949 0.4263 0.8165
O22 O 0.8337 0.7585 0.0950
O23 O 0.7645 0.6861 0.7634
O24 O 0.2352 0.0174 0.0072
O25 O 0.8517 0.1105 0.1217
O26 O 0.5995 0.0272 0.2969
O27 O 0.6903 0.7756 0.9400
O28 O 0.8398 0.4457 0.6617
O29 O 0.1663 0.2585 0.9050
O30 O 0.2355 0.1861 0.2366
O31 O 0.6483 0.1105 0.6217
O32 O 0.6602 0.4457 0.1617
O33 O 0.7352 0.5174 0.4928
O34 O 0.4005 0.5272 0.7031
O35 O 0.2648 0.0174 0.5072
O36 O 0.3398 0.9457 0.8383
Li1 Li 0.6636 0.9699 0.8801
Li2 Li 0.6616 0.2337 0.3618
Li3 Li 0.8035 0.8845 0.6891
Li4 Li 0.1616 0.7337 0.1382
Li5 Li 0.1965 0.3845 0.3109
Li6 Li 0.1636 0.4699 0.6199
Li7 Li 0.3364 0.4699 0.1199
Li8 Li 0.6965 0.8845 0.1891
Li9 Li 0.8364 0.9699 0.3801
Li10 Li 0.3035 0.3845 0.8109
Li11 Li 0.7800 0.3106 0.5599
Li12 Li 0.8384 0.2337 0.8618
Li13 Li 0.3384 0.7337 0.6382
Li14 Li 0.2800 0.8106 0.9401
Li15 Li 0.7200 0.3106 0.0599
Li16 Li 0.2200 0.8106 0.4401
P1 P 0.3266 0.0213 0.2727
P2 P 0.6734 0.5213 0.7273
P3 P 0.6684 0.6811 0.0289
P4 P 0.8266 0.5213 0.2273
P5 P 0.8316 0.6811 0.5289
P6 P 0.1734 0.0213 0.7727
P7 P 0.1684 0.1811 0.4711
P8 P 0.3316 0.1811 0.9711
V1 V 0.6514 0.6032 0.3784
V2 V 0.3486 0.1032 0.6216
V3 V 0.1514 0.1032 0.1216
V4 V 0.8486 0.6032 0.8784
# Symmetry: Pna2_1, No. 33

Arrangement b

# Li4VP2O9 PBEsol relaxed
data_Li4VP2O9
_symmetry_space_group_name_H-M 'P 1'
_symmetry_Int_Tables_number 1
_symmetry_space_group_name_Hall 'P 1'
_cell_length_a 6.7470
_cell_length_b 7.0849
_cell_length_c 7.8925
_cell_angle_alpha 90.00
_cell_angle_beta 115.30
_cell_angle_gamma 90.00
loop_
_atom_site_label
_atom_site_type_symbol
_atom_site_fract_x
_atom_site_fract_y
_atom_site_fract_z
V1 V 0.0000 0.5000 0.5000
V2 V 0.5000 0.5000 0.5000
O1 O 0.5079 0.2840 0.0158
O2 O 0.6532 0.3157 0.6938
O3 O 0.1436 0.9788 0.2872
O4 O 0.4594 0.3157 0.3062
O5 O 0.8468 0.3157 0.3062
O6 O 0.8564 0.0212 0.7128
O7 O 0.5406 0.6843 0.6938
O8 O 0.3468 0.6843 0.3062
O9 O 0.9921 0.2840 0.9842
O10 O 0.7500 0.5891 0.5000
O11 O 0.0406 0.3157 0.6938
O12 O 0.0079 0.7160 0.0158
O13 O 0.4921 0.7160 0.9842
O14 O 0.9594 0.6843 0.3062
O15 O 0.1532 0.6843 0.6938
O16 O 0.6436 0.0212 0.2872
O17 O 0.2500 0.4109 0.5000
O18 O 0.3564 0.9788 0.7128
P1 P 0.3891 0.7735 0.7781
P2 P 0.8891 0.2265 0.7781
P3 P 0.6109 0.2265 0.2219
P4 P 0.1109 0.7735 0.2219
Li1 Li 0.5000 0.0000 0.5000
Li2 Li 0.6198 0.7648 0.2395
Li3 Li 0.1198 0.2352 0.2395
Li4 Li 0.8802 0.7648 0.7605
Li5 Li 0.7500 0.5000 0.0000
Li6 Li 0.0000 0.0000 0.5000
Li7 Li 0.2500 0.5000 0.0000
Li8 Li 0.3802 0.2352 0.7605
# Symmetry: Cmme, No. 67

Which one sits at the top of the stability order? arrangement b does.

Arrangement a

# Li3V4P6O24 PBEsol relaxed
data_Li3V4P6O24
_symmetry_space_group_name_H-M 'P 1'
_symmetry_Int_Tables_number 1
_symmetry_space_group_name_Hall 'P 1'
_cell_length_a 8.3779
_cell_length_b 8.4219
_cell_length_c 8.4210
_cell_angle_alpha 60.82
_cell_angle_beta 60.99
_cell_angle_gamma 60.97
loop_
_atom_site_label
_atom_site_type_symbol
_atom_site_fract_x
_atom_site_fract_y
_atom_site_fract_z
P1 P 0.0454 0.9598 0.2504
P2 P 0.7502 0.5407 0.9583
P3 P 0.5398 0.7477 0.4630
P4 P 0.2501 0.4616 0.0378
P5 P 0.9604 0.0363 0.7516
P6 P 0.4551 0.2488 0.5394
O1 O 0.8175 0.4948 0.1209
O2 O 0.2367 0.9371 0.0832
O3 O 0.0259 0.1200 0.3059
O4 O 0.9946 0.8719 0.6948
O5 O 0.1292 0.9925 0.8087
O6 O 0.1853 0.5024 0.8770
O7 O 0.6831 0.3784 0.0035
O8 O 0.9125 0.5550 0.7630
O9 O 0.3711 0.6903 0.5069
O10 O 0.5057 0.8037 0.6279
O11 O 0.5879 0.7361 0.9444
O12 O 0.4091 0.2612 0.0612
O13 O 0.7657 0.0590 0.9157
O14 O 0.8699 0.0126 0.1985
O15 O 0.3146 0.6223 0.9976
O16 O 0.2636 0.4157 0.5625
O17 O 0.0564 0.7657 0.4156
O18 O 0.6303 0.3010 0.4871
O19 O 0.0915 0.4372 0.2383
O20 O 0.4753 0.1938 0.3786
O21 O 0.5439 0.9204 0.2731
O22 O 0.9548 0.2269 0.5798
O23 O 0.4445 0.0833 0.7332
O24 O 0.7348 0.5843 0.4392
V1 V 0.8588 0.3606 0.3564
V2 V 0.1373 0.6384 0.6417
V3 V 0.6413 0.1431 0.1388
V4 V 0.3630 0.8575 0.8610
Li1 Li 0.5241 0.9977 0.9742
Li2 Li 0.2504 0.1458 0.3484
Li3 Li 0.9787 0.5219 0.5018
# Symmetry: P1, No. 1

Arrangement b

# Li3V4P6O24 PBEsol relaxed
data_Li3V4P6O24
_symmetry_space_group_name_H-M 'P 1'
_symmetry_Int_Tables_number 1
_symmetry_space_group_name_Hall 'P 1'
_cell_length_a 6.3153
_cell_length_b 8.2137
_cell_length_c 8.7287
_cell_angle_alpha 91.12
_cell_angle_beta 107.58
_cell_angle_gamma 105.30
loop_
_atom_site_label
_atom_site_type_symbol
_atom_site_fract_x
_atom_site_fract_y
_atom_site_fract_z
O1 O 0.4757 0.8322 0.2738
O2 O 0.8112 0.3955 0.0467
O3 O 0.7676 0.2655 0.5446
O4 O 0.5988 0.6493 0.9647
O5 O 0.2324 0.7345 0.4554
O6 O 0.2605 0.5016 0.7073
O7 O 0.7449 0.4747 0.7530
O8 O 0.9672 0.2621 0.8429
O9 O 0.1570 0.2952 0.4608
O10 O 0.7395 0.4984 0.2927
O11 O 0.6233 0.1843 0.2140
O12 O 0.3767 0.8157 0.7860
O13 O 0.3173 0.0554 0.4059
O14 O 0.4012 0.3507 0.0353
O15 O 0.0960 0.1855 0.1722
O16 O 0.2551 0.5253 0.2470
O17 O 0.1888 0.6045 0.9533
O18 O 0.0328 0.7379 0.1571
O19 O 0.1090 0.9997 0.6588
O20 O 0.8430 0.7048 0.5392
O21 O 0.8910 0.0003 0.3412
O22 O 0.9040 0.8145 0.8278
O23 O 0.5243 0.1678 0.7262
O24 O 0.6827 0.9446 0.5941
V1 V 0.6284 0.0563 0.3836
V2 V 0.8777 0.6286 0.9426
V3 V 0.3716 0.9437 0.6164
V4 V 0.1223 0.3714 0.0574
P1 P 0.1129 0.1429 0.3480
P2 P 0.6443 0.3631 0.1539
P3 P 0.3557 0.6369 0.8461
P4 P 0.7509 0.2918 0.7149
P5 P 0.8871 0.8571 0.6520
P6 P 0.2491 0.7082 0.2851
Li1 Li 0.2274 0.2631 0.6922
Li2 Li 0.0000 0.5000 0.5000
Li3 Li 0.7726 0.7369 0.3078
# Symmetry: P-1, No. 2

Which one sits at the top of the stability order? arrangement a does.

Arrangement a

# LiPWO5 PBEsol relaxed
data_LiPWO5
_symmetry_space_group_name_H-M 'P 1'
_symmetry_Int_Tables_number 1
_symmetry_space_group_name_Hall 'P 1'
_cell_length_a 7.0801
_cell_length_b 7.3151
_cell_length_c 7.9717
_cell_angle_alpha 89.29
_cell_angle_beta 87.12
_cell_angle_gamma 62.92
loop_
_atom_site_label
_atom_site_type_symbol
_atom_site_fract_x
_atom_site_fract_y
_atom_site_fract_z
O1 O 0.4203 0.6468 0.7434
O2 O 0.7535 0.4251 0.5003
O3 O 0.4373 0.1023 0.8209
O4 O 0.5627 0.8977 0.1791
O5 O 0.3722 0.8501 0.4745
O6 O 0.9201 0.6513 0.2449
O7 O 0.9370 0.0992 0.3222
O8 O 0.1314 0.1450 0.0243
O9 O 0.7397 0.2529 0.8343
O10 O 0.7564 0.7477 0.6865
O11 O 0.8686 0.8550 0.9757
O12 O 0.2481 0.4286 0.9990
O13 O 0.0630 0.9008 0.6778
O14 O 0.5797 0.3532 0.2566
O15 O 0.0799 0.3487 0.7551
O16 O 0.2465 0.5749 0.4997
O17 O 0.2436 0.2523 0.3135
O18 O 0.2603 0.7471 0.1657
O19 O 0.6278 0.1499 0.5255
O20 O 0.7519 0.5714 0.0010
P1 P 0.2258 0.2556 0.9051
P2 P 0.2740 0.7440 0.5957
P3 P 0.7260 0.2560 0.4043
P4 P 0.7742 0.7444 0.0949
W1 W 0.7511 0.4979 0.7498
W2 W 0.2489 0.5021 0.2502
W3 W 0.2505 0.9984 0.2511
W4 W 0.7495 0.0016 0.7489
Li1 Li 0.3009 0.2742 0.5629
Li2 Li 0.1957 0.7279 0.9344
Li3 Li 0.8043 0.2721 0.0656
Li4 Li 0.6991 0.7258 0.4371
# Symmetry: P-1, No. 2

Arrangement b

# LiPWO5 PBEsol relaxed
data_LiPWO5
_symmetry_space_group_name_H-M 'P 1'
_symmetry_Int_Tables_number 1
_symmetry_space_group_name_Hall 'P 1'
_cell_length_a 5.3242
_cell_length_b 7.4597
_cell_length_c 10.4640
_cell_angle_alpha 70.87
_cell_angle_beta 75.26
_cell_angle_gamma 69.09
loop_
_atom_site_label
_atom_site_type_symbol
_atom_site_fract_x
_atom_site_fract_y
_atom_site_fract_z
W1 W 0.0000 0.0000 0.5000
W2 W 0.4981 0.2500 0.7500
W3 W 0.5019 0.7500 0.2500
W4 W 0.5000 0.5000 0.0000
O1 O 0.2915 0.0462 0.8453
O2 O 0.3055 0.5330 0.3466
O3 O 0.1935 0.4415 0.1601
O4 O 0.7951 0.0585 0.3399
O5 O 0.6945 0.4670 0.6534
O6 O 0.8170 0.5462 0.3453
O7 O 0.6695 0.1595 0.5887
O8 O 0.4177 0.3405 0.9113
O9 O 0.8065 0.5585 0.8399
O10 O 0.1830 0.4538 0.6547
O11 O 0.8121 0.2748 0.0909
O12 O 0.1778 0.2252 0.4091
O13 O 0.2049 0.9415 0.6601
O14 O 0.8148 0.0330 0.8466
O15 O 0.8222 0.7748 0.5909
O16 O 0.3305 0.8405 0.4113
O17 O 0.1852 0.9670 0.1534
O18 O 0.5823 0.6595 0.0887
O19 O 0.1879 0.7252 0.9091
O20 O 0.7085 0.9538 0.1547
Li1 Li 0.0000 0.5000 0.0000
Li2 Li 0.5000 0.0000 0.5000
Li3 Li 0.5000 0.0000 0.0000
Li4 Li 0.5000 0.5000 0.5000
P1 P 0.8749 0.5627 0.6863
P2 P 0.8761 0.0627 0.1863
P3 P 0.1251 0.4373 0.3137
P4 P 0.1239 0.9373 0.8137
# Symmetry: C2/c, No. 15

Which one sits at the top of the stability order? arrangement a does.

Arrangement a

# LiP2WO8 PBEsol relaxed
data_LiP2WO8
_symmetry_space_group_name_H-M 'P 1'
_symmetry_Int_Tables_number 1
_symmetry_space_group_name_Hall 'P 1'
_cell_length_a 4.9371
_cell_length_b 4.9371
_cell_length_c 7.8174
_cell_angle_alpha 80.68
_cell_angle_beta 80.68
_cell_angle_gamma 64.53
loop_
_atom_site_label
_atom_site_type_symbol
_atom_site_fract_x
_atom_site_fract_y
_atom_site_fract_z
P1 P 0.6859 0.6859 0.2914
P2 P 0.3141 0.3141 0.7086
Li1 Li 0.0000 0.0000 0.0000
W1 W 0.0000 0.0000 0.5000
O1 O 0.2100 0.2100 0.8849
O2 O 0.6657 0.1915 0.6762
O3 O 0.2150 0.2150 0.5572
O4 O 0.7850 0.7850 0.4428
O5 O 0.8085 0.3343 0.3238
O6 O 0.1915 0.6657 0.6762
O7 O 0.7900 0.7900 0.1151
O8 O 0.3343 0.8085 0.3238
# Symmetry: C2/m, No. 12

Arrangement b

# LiP2WO8 PBEsol relaxed
data_LiP2WO8
_symmetry_space_group_name_H-M 'P 1'
_symmetry_Int_Tables_number 1
_symmetry_space_group_name_Hall 'P 1'
_cell_length_a 5.2987
_cell_length_b 6.8155
_cell_length_c 7.8880
_cell_angle_alpha 90.00
_cell_angle_beta 90.00
_cell_angle_gamma 90.00
loop_
_atom_site_label
_atom_site_type_symbol
_atom_site_fract_x
_atom_site_fract_y
_atom_site_fract_z
W1 W 0.2522 0.0108 0.7500
W2 W 0.7478 0.5108 0.2500
O1 O 0.2522 0.4827 0.9461
O2 O 0.0084 0.3234 0.1866
O3 O 0.5205 0.2054 0.6937
O4 O 0.9915 0.1982 0.6867
O5 O 0.7478 0.9826 0.0539
O6 O 0.4794 0.3160 0.1938
O7 O 0.5206 0.8160 0.8062
O8 O 0.7489 0.6097 0.0161
O9 O 0.2522 0.5388 0.5539
O10 O 0.2511 0.1097 0.9839
O11 O 0.2511 0.9118 0.5161
O12 O 0.9916 0.8234 0.8134
O13 O 0.7478 0.0388 0.4461
O14 O 0.0085 0.6981 0.3133
O15 O 0.4795 0.7054 0.3063
O16 O 0.7489 0.4118 0.4839
Li1 Li 0.4264 0.5109 0.7500
Li2 Li 0.5736 0.0109 0.2500
P1 P 0.7541 0.8186 0.9314
P2 P 0.2459 0.7029 0.4314
P3 P 0.2459 0.3186 0.0686
P4 P 0.7541 0.2029 0.5685
# Symmetry: P2_12_12, No. 18

Which one sits at the top of the stability order? arrangement a does.

Arrangement a

# Li3SbO3 PBEsol relaxed
data_Li3SbO3
_symmetry_space_group_name_H-M 'P 1'
_symmetry_Int_Tables_number 1
_symmetry_space_group_name_Hall 'P 1'
_cell_length_a 7.4049
_cell_length_b 7.4049
_cell_length_c 7.4049
_cell_angle_alpha 109.47
_cell_angle_beta 109.47
_cell_angle_gamma 109.47
loop_
_atom_site_label
_atom_site_type_symbol
_atom_site_fract_x
_atom_site_fract_y
_atom_site_fract_z
Li1 Li 0.2883 0.0000 0.5330
Li2 Li 0.5330 0.2883 0.0000
Li3 Li 0.7117 0.7117 0.2447
Li4 Li 0.4670 0.4670 0.7553
Li5 Li 0.0000 0.2883 0.5330
Li6 Li 0.7553 0.4670 0.4670
Li7 Li 0.2447 0.7117 0.7117
Li8 Li 0.5330 0.0000 0.2883
Li9 Li 0.0000 0.5330 0.2883
Li10 Li 0.7117 0.2447 0.7117
Li11 Li 0.4670 0.7553 0.4670
Li12 Li 0.2883 0.5330 0.0000
O1 O 0.0000 0.5053 0.7608
O2 O 0.4947 0.2555 0.4947
O3 O 0.5053 0.7608 0.0000
O4 O 0.4947 0.4947 0.2555
O5 O 0.7608 0.0000 0.5053
O6 O 0.0000 0.7608 0.5053
O7 O 0.2392 0.7445 0.2392
O8 O 0.2555 0.4947 0.4947
O9 O 0.2392 0.2392 0.7445
O10 O 0.7608 0.5053 0.0000
O11 O 0.7445 0.2392 0.2392
O12 O 0.5053 0.0000 0.7608
Sb1 Sb 0.0000 0.7224 0.0000
Sb2 Sb 0.2776 0.2776 0.2776
Sb3 Sb 0.0000 0.0000 0.7224
Sb4 Sb 0.7224 0.0000 0.0000
# Symmetry: I-43m, No. 217

Arrangement b

# Li3SbO3 PBEsol relaxed
data_Li3SbO3
_symmetry_space_group_name_H-M 'P 1'
_symmetry_Int_Tables_number 1
_symmetry_space_group_name_Hall 'P 1'
_cell_length_a 7.0555
_cell_length_b 7.0555
_cell_length_c 7.0555
_cell_angle_alpha 90.00
_cell_angle_beta 90.00
_cell_angle_gamma 90.00
loop_
_atom_site_label
_atom_site_type_symbol
_atom_site_fract_x
_atom_site_fract_y
_atom_site_fract_z
O1 O 0.7576 0.8988 0.5057
O2 O 0.0057 0.7424 0.1012
O3 O 0.7424 0.1012 0.0057
O4 O 0.8988 0.5057 0.7576
O5 O 0.1012 0.0057 0.7424
O6 O 0.2576 0.6012 0.4943
O7 O 0.4943 0.2576 0.6012
O8 O 0.9943 0.2424 0.3988
O9 O 0.2424 0.3988 0.9943
O10 O 0.5057 0.7576 0.8988
O11 O 0.6012 0.4943 0.2576
O12 O 0.3988 0.9943 0.2424
Li1 Li 0.5280 0.0280 0.4720
Li2 Li 0.9720 0.9720 0.9720
Li3 Li 0.2456 0.7456 0.7544
Li4 Li 0.2588 0.2412 0.7588
Li5 Li 0.7588 0.2588 0.2412
Li6 Li 0.4720 0.5280 0.0280
Li7 Li 0.2412 0.7588 0.2588
Li8 Li 0.7412 0.7412 0.7412
Li9 Li 0.2544 0.2544 0.2544
Li10 Li 0.7544 0.2456 0.7456
Li11 Li 0.7456 0.7544 0.2456
Li12 Li 0.0280 0.4720 0.5280
Sb1 Sb 0.9755 0.4755 0.0245
Sb2 Sb 0.5245 0.5245 0.5245
Sb3 Sb 0.0245 0.9755 0.4755
Sb4 Sb 0.4755 0.0245 0.9755
# Symmetry: P2_13, No. 198

Which one sits at the top of the stability order? arrangement a does.